Entry 1:
NaYErTl | PBE | relaxed

The structure in POSCAR format:
```
NaYErTl
1.0
0.0000 3.8076 3.8076
3.8076 0.0000 3.8076
3.8076 3.8076 0.0000
Na Y Er Tl
1 1 1 1
direct
0.0000 0.0000 0.0000
0.2500 0.2500 0.2500
0.7500 0.7500 0.7500
0.5000 0.5000 0.5000
```

- ΔE_f (meV per atom) = -56.0
- crystal system = cubic
- volume (Å³ per atom) = 27.6



Entry 2:
NaErTlZn | PBE | relaxed

The structure in POSCAR format:
```
NaErTlZn
1.0
0.0000 3.6305 3.6305
3.6305 0.0000 3.6305
3.6305 3.6305 0.0000
Na Er Tl Zn
1 1 1 1
direct
0.0000 0.0000 0.0000
0.5000 0.5000 0.5000
0.2500 0.2500 0.2500
0.7500 0.7500 0.7500
```

- ΔE_f (meV per atom) = -130.1
- crystal system = cubic
- volume (Å³ per atom) = 23.9



Entry 3:
NaErTm2 | PBE | relaxed

The structure in POSCAR format:
```
NaErTm2
1.0
1.7250 0.9959 12.5498
-1.7250 0.9959 12.5498
0.0000 -1.9918 12.5498
Na Er Tm
1 1 2
direct
0.0000 0.0000 0.0000
0.5000 0.5000 0.5000
0.0925 0.0925 0.0925
0.9075 0.9075 0.9075
```

- ΔE_f (meV per atom) = 174.4
- crystal system = trigonal
- volume (Å³ per atom) = 32.3
- offset from the most stable computed form (eV/f.u.) = 0.123



Entry 4:
NaErTm2 | PBE | relaxed

The structure in POSCAR format:
```
NaErTm2
1.0
3.4988 0.0000 0.0000
0.0000 3.4988 0.0000
0.0000 0.0000 10.3823
Na Er Tm
1 1 2
direct
0.0000 0.0000 0.0000
0.0000 0.0000 0.5000
0.5000 0.5000 0.2728
0.5000 0.5000 0.7272
```

- ΔE_f (meV per atom) = 143.7
- crystal system = tetragonal
- volume (Å³ per atom) = 31.8
- offset from the most stable computed form (eV/f.u.) = 0.000



Entry 5:
NaYEr2 | PBE | relaxed

The structure in POSCAR format:
```
NaYEr2
1.0
3.5253 0.0000 0.0000
0.0000 3.5253 0.0000
0.0000 0.0000 10.4655
Na Y Er
1 1 2
direct
0.0000 0.0000 0.0000
0.0000 0.0000 0.5000
0.5000 0.5000 0.2693
0.5000 0.5000 0.7307
```

- ΔE_f (meV per atom) = 147.6
- crystal system = tetragonal
- volume (Å³ per atom) = 32.5
- offset from the most stable computed form (eV/f.u.) = 0.000



Entry 6:
NaYEr2 | PBE | relaxed

The structure in POSCAR format:
```
NaYEr2
1.0
1.7423 1.0059 12.6392
-1.7423 1.0059 12.6392
0.0000 -2.0118 12.6392
Na Y Er
1 1 2
direct
0.0000 0.0000 0.0000
0.5000 0.5000 0.5000
0.0921 0.0921 0.0921
0.9079 0.9079 0.9079
```

- ΔE_f (meV per atom) = 176.8
- crystal system = trigonal
- volume (Å³ per atom) = 33.2
- offset from the most stable computed form (eV/f.u.) = 0.117



What did we get for N(E_F)? Answer: 3.6, 2.2, 5.0, 3.8, 4.4, 5.2 states/eV/cell, in the order shown.